Record 1
A plane-wave DFT calculation with PBE was carried out for an optimized crystal structure of NdGd2Zn3AgAu2.

## Properties
Formation enthalpy at 0 K in eV per atom: -0.5600
Calculated volume in Å³ per atom: 21.8
VASP energy in eV for the cell shown: -64.53

Cell lengths 3.8842, 13.2625, 7.6135 Å; angles 90.00, 90.00, 90.00 degrees
Space group Amm2 (No. 38)
One atom of each set of equivalent atoms:
Nd  0.0000  0.0000  0.0000 x2
Gd  0.0000  0.2031  0.3906 x4
Zn  0.5000  0.0000  0.3380 x2
Zn  0.5000  0.1302  0.7212 x4
Ag  0.0000  0.0000  0.5906 x2
Au  0.5000  0.1698  0.0953 x4



Record 2
A plane-wave DFT calculation with PBE was carried out for an optimized crystal structure of Tb2DyTc.

## Properties
Formation enthalpy at 0 K in eV per atom: -0.0928
Calculated volume in Å³ per atom: 26.8
VASP energy in eV for the cell shown: -98.37

Cell lengths 3.9113, 11.9135, 9.1950 Å; angles 90.00, 90.00, 90.00 degrees
Space group Cmcm (No. 63)
One atom of each set of equivalent atoms:
Tb  0.0000  0.1437  0.0668 x8
Dy  0.0000  0.4266  0.2500 x4
Tc  0.0000  0.2389  0.7500 x4



Record 3
A plane-wave DFT calculation with PBE was carried out for an optimized crystal structure of SmBi2.

## Properties
Calculated volume in Å³ per atom: 31.6
VASP energy in eV for the cell shown: -55.79

Cell lengths 15.5410, 4.8597, 5.0158 Å; angles 90.00, 91.12, 90.00 degrees
Space group C2/m (No. 12)
One atom of each set of equivalent atoms:
Sm  0.2503  0.0000  0.2499 x4
Bi  0.0978  0.0000  0.7428 x4
Bi  0.0988  0.5000  0.2428 x4



Record 4
A plane-wave DFT calculation with PBE was carried out for an optimized crystal structure of Cu2Ag3.

## Properties
Formation enthalpy at 0 K in eV per atom: 0.0830
Polymorph energy (0 for the lowest one) in meV per atom: 51
Calculated volume in Å³ per atom: 15.6
VASP energy in eV for the cell shown: -61.97

Cell lengths 18.5906, 2.8558, 5.9334 Å; angles 90.00, 98.95, 90.00 degrees
Space group C2/m (No. 12)
One atom of each set of equivalent atoms:
Cu  0.1028  0.0000  0.3116 x4
Cu  0.1997  0.5000  0.5734 x4
Ag  0.0000  0.5000  0.0000 x2
Ag  0.0000  0.5000  0.5000 x2
Ag  0.1094  0.0000  0.7956 x4
Ag  0.2046  0.5000  0.1301 x4



Record 5
A plane-wave DFT calculation with PBE was carried out for an optimized crystal structure of HfCuPd.

## Properties
Formation enthalpy at 0 K in eV per atom: -0.5261
Polymorph energy (0 for the lowest one) in meV per atom: 21
Calculated volume in Å³ per atom: 16.3
VASP energy in eV for the cell shown: -40.85

Cell lengths 3.4134, 3.4134, 8.3697 Å; angles 90.00, 90.00, 90.00 degrees
Space group P4/nmm (No. 129, origin choice 2)
One atom of each set of equivalent atoms:
Hf  0.2500  0.2500  0.2488 x2
Cu  0.2500  0.2500  0.9255 x2
Pd  0.2500  0.2500  0.5972 x2



Record 6
A plane-wave DFT calculation with PBE was carried out for an optimized crystal structure of ZrCdCoBi.

## Properties
Polymorph energy (0 for the lowest one) in meV per atom: 0
Calculated volume in Å³ per atom: 20.2
VASP energy in eV for the cell shown: -78.43

Cell lengths 6.8584, 6.8584, 6.8584 Å; angles 90.00, 90.00, 90.00 degrees
Space group F-43m (No. 216)
One atom of each set of equivalent atoms:
Zr  0.0000  0.0000  0.0000 x4
Cd  0.2500  0.2500  0.2500 x4
Co  0.2500  0.2500  0.7500 x4
Bi  0.0000  0.0000  0.5000 x4



Record 7
A plane-wave DFT calculation with PBE was carried out for an optimized crystal structure of Gd5Si4.

## Properties
Calculated volume in Å³ per atom: 24.0
VASP energy in eV for the cell shown: -206.49

Cell lengths 7.5382, 14.7449, 7.7618 Å; angles 90.00, 90.00, 90.00 degrees
Space group Pnma (No. 62)
One atom of each set of equivalent atoms:
Gd  0.0345  0.0999  0.1850 x8
Gd  0.1443  0.7500  0.5116 x4
Gd  0.1852  0.1222  0.6801 x8
Si  0.0189  0.7500  0.1033 x4
Si  0.1413  0.5408  0.4730 x8
Si  0.2406  0.2500  0.3746 x4



Record 8
A plane-wave DFT calculation with PBE was carried out for an optimized crystal structure of LiMgTaPt.

## Properties
Polymorph energy (0 for the lowest one) in meV per atom: 154
Calculated volume in Å³ per atom: 15.7
VASP energy in eV for the cell shown: -89.50

Cell lengths 6.3123, 6.3123, 6.3123 Å; angles 90.00, 90.00, 90.00 degrees
Space group F-43m (No. 216)
One atom of each set of equivalent atoms:
Li  0.0000  0.0000  0.0000 x4
Mg  0.2500  0.2500  0.7500 x4
Ta  0.0000  0.0000  0.5000 x4
Pt  0.2500  0.2500  0.2500 x4



Record 9
A plane-wave DFT calculation with PBE was carried out for an optimized crystal structure of LiZrIr2.

## Properties
Polymorph energy (0 for the lowest one) in meV per atom: 5
Calculated volume in Å³ per atom: 15.4
VASP energy in eV for the cell shown: -30.43

Cell lengths 3.2184, 3.2184, 5.9497 Å; angles 90.00, 90.00, 90.00 degrees
Space group P4/mmm (No. 123)
One atom of each set of equivalent atoms:
Li  0.0000  0.0000  0.0000 x1
Zr  0.0000  0.0000  0.5000 x1
Ir  0.5000  0.5000  0.2305 x2



Record 10
A plane-wave DFT calculation with PBE was carried out for an optimized crystal structure of Sm2Dy2CI2Br3.

## Properties
Polymorph energy (0 for the lowest one) in meV per atom: 14
Calculated volume in Å³ per atom: 29.5
VASP energy in eV for the cell shown: -97.65

Cell lengths 18.6118, 3.9017, 8.2961 Å; angles 90.00, 101.89, 90.00 degrees
Space group C2/m (No. 12)
One atom of each set of equivalent atoms:
Sm  0.1352  0.0000  0.0625 x4
Dy  0.0013  0.5000  0.8017 x4
C  0.0000  0.0000  0.0000 x2
I  0.1640  0.5000  0.3567 x4
Br  0.0000  0.0000  0.5000 x2
Br  0.1629  0.5000  0.8163 x4



Record 11
A plane-wave DFT calculation with PBE was carried out for an optimized crystal structure of HfTlIn2.

## Properties
Calculated volume in Å³ per atom: 24.7
VASP energy in eV for the cell shown: -65.59

Cell lengths 7.3384, 7.3384, 7.3384 Å; angles 90.00, 90.00, 90.00 degrees
Space group F-43m (No. 216)
One atom of each set of equivalent atoms:
Hf  0.0000  0.0000  0.0000 x4
Tl  0.2500  0.2500  0.7500 x4
In  0.0000  0.0000  0.5000 x4
In  0.2500  0.2500  0.2500 x4



Record 12
A plane-wave DFT calculation with PBE was carried out for an optimized crystal structure of LaTa2Cd2.

## Properties
Formation enthalpy at 0 K in eV per atom: 0.5584
Calculated volume in Å³ per atom: 24.0
VASP energy in eV for the cell shown: -27.63

Cell lengths 4.8704, 4.8704, 5.8304 Å; angles 90.00, 90.00, 120.00 degrees
Space group P-3m1 (No. 164)
One atom of each set of equivalent atoms:
La  0.0000  0.0000  0.0000 x1
Ta  0.3333  0.6667  0.0781 x2
Cd  0.3333  0.6667  0.5911 x2



Record 13
A plane-wave DFT calculation with PBE was carried out for an optimized crystal structure of CuF3.

## Properties
Calculated volume in Å³ per atom: 11.1
VASP energy in eV for the cell shown: -115.08

Cell lengths 7.0819, 7.0819, 7.0819 Å; angles 90.00, 90.00, 90.00 degrees
Space group Im-3 (No. 204)
One atom of each set of equivalent atoms:
Cu  0.2500  0.2500  0.2500 x8
F  0.0000  0.1843  0.3052 x24



Record 14
A plane-wave DFT calculation with PBE was carried out for an optimized crystal structure of Cd2Cu.

## Properties
Formation enthalpy at 0 K in eV per atom: 0.1038
Calculated volume in Å³ per atom: 18.2
VASP energy in eV for the cell shown: -10.39

Cell lengths 5.4196, 3.1413, 6.6729 Å; angles 90.00, 105.89, 90.00 degrees
Space group C2/m (No. 12)
One atom of each set of equivalent atoms:
Cd  0.2326  0.0000  0.1910 x4
Cu  0.0000  0.0000  0.5000 x2



Record 15
A plane-wave DFT calculation with PBE was carried out for an optimized crystal structure of LiPmNd.

## Properties
Polymorph energy (0 for the lowest one) in meV per atom: 0
Calculated volume in Å³ per atom: 31.9
VASP energy in eV for the cell shown: -39.99

Cell lengths 7.2594, 7.2594, 7.2594 Å; angles 90.00, 90.00, 90.00 degrees
Space group F-43m (No. 216)
One atom of each set of equivalent atoms:
Li  0.0000  0.0000  0.0000 x4
Pm  0.2500  0.2500  0.2500 x4
Nd  0.2500  0.2500  0.7500 x4



Record 16
A plane-wave DFT calculation with PBE was carried out for an optimized crystal structure of Be2CoAg.

## Properties
Calculated volume in Å³ per atom: 11.4
VASP energy in eV for the cell shown: -64.79

Cell lengths 5.6695, 5.6695, 5.6695 Å; angles 90.00, 90.00, 90.00 degrees
Space group F-43m (No. 216)
One atom of each set of equivalent atoms:
Be  0.0000  0.0000  0.0000 x4
Be  0.2500  0.2500  0.2500 x4
Co  0.0000  0.0000  0.5000 x4
Ag  0.2500  0.2500  0.7500 x4



Record 17
A plane-wave DFT calculation with PBE was carried out for an optimized crystal structure of YTlCdSe3.

## Properties
Polymorph energy (0 for the lowest one) in meV per atom: 2
Calculated volume in Å³ per atom: 28.6
VASP energy in eV for the cell shown: -106.57

Cell lengths 11.1282, 4.2434, 14.5482 Å; angles 90.00, 90.00, 90.00 degrees
Space group Pnma (No. 62)
One atom of each set of equivalent atoms:
Y  0.0074  0.2500  0.2479 x4
Tl  0.2404  0.7500  0.4980 x4
Cd  0.2433  0.2500  0.7076 x4
Se  0.0382  0.2500  0.6194 x4
Se  0.0545  0.7500  0.1160 x4
Se  0.2431  0.7500  0.8224 x4



Record 18
A plane-wave DFT calculation with PBE was carried out for an optimized crystal structure of LiYGaCu.

## Properties
Polymorph energy (0 for the lowest one) in meV per atom: 0
Calculated volume in Å³ per atom: 16.7
VASP energy in eV for the cell shown: -66.53

Cell lengths 6.4446, 6.4446, 6.4446 Å; angles 90.00, 90.00, 90.00 degrees
Space group F-43m (No. 216)
One atom of each set of equivalent atoms:
Li  0.0000  0.0000  0.0000 x4
Y  0.2500  0.2500  0.7500 x4
Ga  0.2500  0.2500  0.2500 x4
Cu  0.0000  0.0000  0.5000 x4



Record 19
A plane-wave DFT calculation with PBE was carried out for an optimized crystal structure of GdIrNO.

## Properties
Polymorph energy (0 for the lowest one) in meV per atom: 779
Calculated volume in Å³ per atom: 13.2
VASP energy in eV for the cell shown: -59.43

Cell lengths 4.9520, 4.9520, 4.3172 Å; angles 90.00, 90.00, 90.00 degrees
Space group P4/nmm (No. 129, origin choice 2)
One atom of each set of equivalent atoms:
Gd  0.2500  0.7500  0.0000 x2
Ir  0.2500  0.2500  0.4972 x2
N  0.2500  0.2500  0.9969 x2
O  0.2500  0.7500  0.5000 x2



Record 20
A plane-wave DFT calculation with PBE was carried out for an optimized crystal structure of ErLuMg.

## Properties
Polymorph energy (0 for the lowest one) in meV per atom: 0
Calculated volume in Å³ per atom: 32.4
VASP energy in eV for the cell shown: -37.18

Cell lengths 7.3014, 7.3014, 7.3014 Å; angles 90.00, 90.00, 90.00 degrees
Space group F-43m (No. 216)
One atom of each set of equivalent atoms:
Er  0.0000  0.0000  0.0000 x4
Lu  0.0000  0.0000  0.5000 x4
Mg  0.2500  0.2500  0.2500 x4